Entry 1:
Cs2SnB2S6 | PBE-GGA | optimized geometry

The space group is C2/m (No. 12) and the conventional cell measures 11.528, 6.653 and 8.866 Å, with angles of 90.00, 114.86 and 90.00 degrees. The distinct sites, in fractional coordinates, are Cs at (0.208, 0.000, 0.126), Sn at (0.000, 0.000, 0.500), B at (0.103, 0.500, 0.312), S at (0.013, 0.265, 0.281) and S at (0.248, 0.000, 0.715).

Its electronic total energy is -4.5653 eV/atom. The uncorrected formation energy is -0.5808 eV/atom. For the magnetization, the calculation gives 0.00 μB/f.u.

Entry 2:
Cs2SrB2S6 | PBE-GGA | optimized geometry

The space group is C2/m (No. 12) and the conventional cell measures 12.952, 5.725 and 10.662 Å, with angles of 90.00, 119.00 and 90.00 degrees. The distinct sites, in fractional coordinates, are Cs at (0.189, 0.000, 0.128), Sr at (0.000, 0.000, 0.500), B at (0.092, 0.500, 0.285), S at (0.013, 0.257, 0.756) and S at (0.242, 0.500, 0.329).

Its electronic total energy is -4.6583 eV/atom. The uncorrected formation energy is -0.8848 eV/atom. For the magnetization, the calculation gives 0.00 μB/f.u.

Entry 3:
CsSr2B2S6 | PBE-GGA | optimized geometry

The space group is P-1 (No. 2) and the conventional cell measures 7.282, 7.387 and 7.524 Å, with angles of 96.35, 114.59 and 105.78 degrees. The distinct sites, in fractional coordinates, are Cs at (0.000, 0.000, 0.000), Sr at (0.360, 0.310, 0.684), B at (0.302, 0.737, 0.721), S at (0.133, 0.875, 0.606), S at (0.264, 0.616, 0.907) and S at (0.494, 0.712, 0.635).

Its electronic total energy is -4.9183 eV/atom. The uncorrected formation energy is -1.0695 eV/atom. For the magnetization, the calculation gives 1.02 μB/f.u.

Entry 4:
Cs2TaB2S6 | PBE-GGA | optimized geometry

The space group is C2/m (No. 12) and the conventional cell measures 11.399, 6.576 and 8.391 Å, with angles of 90.00, 116.59 and 90.00 degrees. The distinct sites, in fractional coordinates, are Cs at (0.213, 0.000, 0.141), Ta at (0.000, 0.000, 0.500), B at (0.109, 0.500, 0.329), S at (0.019, 0.260, 0.298) and S at (0.240, 0.000, 0.698).

Its electronic total energy is -5.4217 eV/atom. The uncorrected formation energy is -0.7236 eV/atom. For the magnetization, the calculation gives 0.47 μB/f.u.

Entry 5:
Cs2TbB2S6 | PBE-GGA | optimized geometry

The space group is R-3m (No. 166, hexagonal axes) and the conventional cell measures 6.7968, 6.7968 and 23.9185 Å, with angles of 90.00, 90.00 and 120.00 degrees. The distinct sites, in fractional coordinates, are Cs at (0.0000, 0.0000, 0.2095), Tb at (0.0000, 0.0000, 0.0000), B at (0.0000, 0.0000, 0.4021) and S at (0.0259, 0.5130, 0.2599).

Its electronic total energy is -5.0228 eV/atom. The uncorrected formation energy is -0.9813 eV/atom. For the magnetization, the calculation gives 0.00 μB/f.u.

Entry 6:
Cs2TbBS4 | PBE-GGA | optimized geometry

The space group is Fddd (No. 70, origin choice 2) and the conventional cell measures 5.877, 14.637 and 25.696 Å, with angles of 90.00, 90.00 and 90.00 degrees. The distinct sites, in fractional coordinates, are Cs at (0.125, 0.125, 0.302), Tb at (0.125, 0.125, 0.125), B at (0.125, 0.125, 0.625) and S at (0.052, 0.292, 0.828).

Its electronic total energy is -4.8445 eV/atom. The uncorrected formation energy is -1.1539 eV/atom. For the magnetization, the calculation gives 0.00 μB/f.u.